## NaSr2Hg3 (PBE)

Data for crystalline NaSr2Hg3 at its relaxed geometry.

Offset from the most stable computed form: 0.00 eV/f.u.
E_form: -40.8 kJ per mole of atoms

```
12
Lattice="-5.424 0.005 1.201 2.044 -3.702 -3.602 2.260 -8.713 10.236" Properties=species:S:1:pos:R:3 pbc="T T T"
Na 1.065 -8.288 4.838
Na -2.185 -4.122 2.997
Sr 1.130 -4.357 5.118
Sr -0.049 -3.995 -0.205
Sr -1.071 -8.415 8.040
Sr 0.000 0.000 0.000
Hg 0.509 -6.148 2.323
Hg -2.749 -1.945 0.439
Hg 1.686 -6.500 7.636
Hg 0.574 -2.213 2.600
Hg 1.629 -10.466 7.396
Hg -1.629 -6.263 5.511
```